Entry 1:
TbPrGeRu: relaxed, PBE.

## Properties
ΔH_f (0 K)	-0.559	eV/atom
total moment	0.00	μB per cell
crystal system	orthorhombic

abc: 3.8813 6.0377 6.0377
angles: 42.27 90.00 90.00
Atoms (fractional coordinates):
Tb: 0.0000 0.0000 0.0000
Pr: 0.5000 0.2801 0.2801
Ge: 0.0000 0.6919 0.6919
Ru: 0.5000 0.5452 0.5452

Entry 2:
PrTcGe2Ru: relaxed, PBE.

## Properties
ΔH_f (0 K)	-0.517	eV/atom
total moment	0.00	μB per cell
crystal system	tetragonal

abc: 5.9541 5.9541 5.9541
angles: 137.49 137.49 61.68
Atoms (fractional coordinates):
Pr: 0.0000 0.0000 0.0000
Tc: 0.7500 0.2500 0.5000
Ge: 0.3681 0.3681 0.0000
Ge: 0.6319 0.6319 0.0000
Ru: 0.2500 0.7500 0.5000

Entry 3:
Pr8Ge3S4: relaxed, PBE.

## Properties
ΔE_f (raw)	-21.32	eV/f.u.
total moment	0.00	μB per cell
crystal system	monoclinic

abc: 8.3901 8.3901 8.3753
angles: 119.85 119.85 90.11
Atoms (fractional coordinates):
Pr: 0.2473 0.2473 0.4930
Pr: 0.2474 0.2474 0.9964
Pr: 0.2473 0.7527 0.0000
Pr: 0.2488 0.7512 0.5000
Pr: 0.7512 0.2488 0.5000
Pr: 0.7527 0.2473 0.0000
Pr: 0.7526 0.7526 0.0036
Pr: 0.7527 0.7527 0.5070
Ge: 0.0000 0.5000 0.0000
Ge: 0.5000 0.0000 0.0000
Ge: 0.5000 0.5000 0.5000
S: 0.0000 0.0000 0.0000
S: 0.0000 0.0000 0.5000
S: 0.0000 0.5000 0.5000
S: 0.5000 0.0000 0.5000

Entry 4:
Pr2GeS5: relaxed, PBE.

## Properties
ΔE_f (raw)	-10.30	eV/f.u.
total moment	0.00	μB per cell
crystal system	monoclinic

abc: 5.6531 5.6531 6.6178
angles: 102.68 102.68 77.89
Atoms (fractional coordinates):
Pr: 0.2476 0.2476 0.3379
Pr: 0.7524 0.7524 0.6621
Ge: 0.4860 0.5140 0.0000
S: 0.1084 0.4438 0.9405
S: 0.2070 0.7930 0.5000
S: 0.5562 0.8916 0.0595
S: 0.6304 0.2842 0.7120
S: 0.7158 0.3696 0.2880